This record from Alexandria describes a relaxed structure of NaMgSn2. The functional is PBE-GGA.

Results
As for the formation energy: 0.113 eV per atom. Its density of states at the Fermi level is 0.50 states/eV per atom.

a b c (Å): 4.9408 4.9408 23.2663
angles (deg): 90.00 90.00 120.00
Space group R-3m (No. 166, hexagonal axes)
One atom of each set of equivalent atoms:
Na 0.0000 0.0000 0.0000 x3
Mg 0.0000 0.0000 0.5000 x3
Sn 0.0000 0.0000 0.1331 x6

This record from Alexandria describes a relaxed structure of Pr8Ni3IrI4. The functional is PBE-GGA.

Results
As for the uncorrected formation energy: -0.7374 eV per atom. Its density of states at the Fermi level is 0.73 states/eV per atom.

a b c (Å): 8.3737 8.3737 24.4814
angles (deg): 90.00 90.00 120.00
Space group R-3m (No. 166, hexagonal axes)
One atom of each set of equivalent atoms:
Pr 0.0000 0.0000 0.2273 x6
Pr 0.0016 0.5008 0.7717 x18
Ni 0.0000 0.5000 0.5000 x9
Ir 0.0000 0.0000 0.5000 x3
I 0.0000 0.0000 0.0000 x3
I 0.0000 0.5000 0.0000 x9

This record from Alexandria describes a relaxed structure of YAl2Re2. The functional is PBE-GGA.

Results
As for the formation energy: -0.060 eV per atom. Its density of states at the Fermi level is 0.85 states/eV per atom.

a b c (Å): 7.820 7.820 2.796
angles (deg): 90.00 90.00 90.00
Space group P4/mbm (No. 127)
One atom of each set of equivalent atoms:
Y 0.000 0.000 0.000 x2
Al 0.138 0.362 0.000 x4
Re 0.154 0.654 0.500 x4

This record from Alexandria describes a relaxed structure of AcSm3Pu2Se6. The functional is PBE-GGA.

Results
As for the uncorrected formation energy: -1.7305 eV per atom. Its density of states at the Fermi level is 1.75 states/eV per atom.

a b c (Å): 7.285 12.622 7.347
angles (deg): 90.00 109.37 90.00
Space group C2/m (No. 12)
One atom of each set of equivalent atoms:
Ac 0.000 0.000 0.000 x2
Sm 0.000 0.162 0.500 x4
Sm 0.000 0.500 0.500 x2
Pu 0.000 0.332 0.000 x4
Se 0.238 0.500 0.252 x4
Se 0.242 0.327 0.744 x8

This record from Alexandria describes a relaxed structure of KCa2Au. The functional is PBE-GGA.

Results
As for the formation energy: -0.359 eV per atom. Its density of states at the Fermi level is 0.60 states/eV per atom.

a b c (Å): 4.3574 4.3574 30.7913
angles (deg): 90.00 90.00 120.00
Space group R3m (No. 160, hexagonal axes)
One atom of each set of equivalent atoms:
K 0.0000 0.0000 0.0000 x3
Ca 0.0000 0.0000 0.5503 x3
Ca 0.0000 0.0000 0.7815 x3
Au 0.0000 0.0000 0.1657 x3

This record from Alexandria describes a relaxed structure of MgTlCr. The functional is PBE-GGA.

Results
As for the formation energy: 0.373 eV per atom. Its density of states at the Fermi level is 0.33 states/eV per atom.

a b c (Å): 3.714 3.714 9.168
angles (deg): 90.00 90.00 90.00
Space group I4mm (No. 107)
One atom of each set of equivalent atoms:
Mg 0.000 0.000 0.000 x2
Tl 0.000 0.000 0.329 x2
Cr 0.000 0.000 0.663 x2

This record from Alexandria describes a relaxed structure of TbThSc14. The functional is PBE-GGA.

Results
As for the formation energy: 0.013 eV per atom. Its density of states at the Fermi level is 1.70 states/eV per atom.

a b c (Å): 10.463 6.726 11.556
angles (deg): 90.00 90.00 90.00
Space group Amm2 (No. 38)
One atom of each set of equivalent atoms:
Tb 0.000 0.000 0.000 x2
Th 0.000 0.000 0.498 x2
Sc 0.000 0.249 0.752 x4
Sc 0.252 0.000 0.669 x4
Sc 0.257 0.000 0.171 x4
Sc 0.258 0.248 0.419 x8
Sc 0.500 0.000 0.002 x2
Sc 0.500 0.000 0.502 x2
Sc 0.500 0.249 0.751 x4

This record from Alexandria describes a relaxed structure of Mn2SiMo. The functional is PBE-GGA.

Results
As for the uncorrected formation energy: -0.0532 eV per atom. Its density of states at the Fermi level is 0.97 states/eV per atom.

a b c (Å): 2.647 4.192 4.618
angles (deg): 90.00 94.01 90.00
Space group P2/m (No. 10)
One atom of each set of equivalent atoms:
Mn 0.200 0.000 0.258 x2
Si 0.000 0.500 0.500 x1
Mo 0.500 0.500 0.000 x1

This record from Alexandria describes a relaxed structure of Na6Cd. The functional is PBE-GGA.

Results
As for the formation energy: -0.015 eV per atom. Its density of states at the Fermi level is 0.38 states/eV per atom.

a b c (Å): 5.6496 5.6496 24.6310
angles (deg): 90.00 90.00 120.00
Space group R-3m (No. 166, hexagonal axes)
One atom of each set of equivalent atoms:
Na 0.0000 0.0000 0.0744 x6
Na 0.0000 0.0000 0.2102 x6
Na 0.0000 0.0000 0.3634 x6
Cd 0.0000 0.0000 0.5000 x3

This record from Alexandria describes a relaxed structure of DyCo4Sn. The functional is PBE-GGA.

Results
As for the formation energy: -0.146 eV per atom. Its density of states at the Fermi level is 1.62 states/eV per atom.

a b c (Å): 7.065 7.065 7.065
angles (deg): 90.00 90.00 90.00
Space group F-43m (No. 216)
One atom of each set of equivalent atoms:
Dy 0.000 0.000 0.000 x4
Co 0.125 0.125 0.625 x16
Sn 0.250 0.250 0.250 x4

This record from Alexandria describes a relaxed structure of YSb2Ir. The functional is PBE-GGA.

Results
As for the uncorrected formation energy: -0.5413 eV per atom. Its density of states at the Fermi level is 0.16 states/eV per atom.

a b c (Å): 5.891 7.796 4.280
angles (deg): 90.00 90.00 90.00
Space group Cmmm (No. 65)
One atom of each set of equivalent atoms:
Y 0.000 0.000 0.000 x2
Sb 0.000 0.298 0.500 x4
Ir 0.000 0.500 0.000 x2

This record from Alexandria describes a relaxed structure of Na5SrTl. The functional is PBE-GGA.

Results
As for the formation energy: 0.027 eV per atom. Its density of states at the Fermi level is 0.39 states/eV per atom.

a b c (Å): 4.792 4.792 11.686
angles (deg): 90.00 90.00 90.00
Space group P4/mmm (No. 123)
One atom of each set of equivalent atoms:
Na 0.000 0.000 0.000 x1
Na 0.000 0.500 0.221 x4
Sr 0.000 0.000 0.500 x1
Tl 0.500 0.500 0.000 x1